Record 1
BeAl2H | PBE | relaxed

Computed properties:
Calculated volume ... 11.63 A^3/atom
SG ... P4/mmm (123)
Energy ... -3.48 eV per atom

Unit cell a=4.092 b=4.092 c=2.779 alpha=90.00 beta=90.00 gamma=90.00
Element x y z (fractional)
Be (0.000, 0.000, 0.000)
Al (0.000, 0.500, 0.500)
Al (0.500, 0.000, 0.500)
H (0.500, 0.500, 0.500)

Record 2
BeAl2H8 | PBE | relaxed

Computed properties:
Calculated volume ... 10.96 A^3/atom
SG ... C2/m (12)
Energy ... -3.37 eV per atom

Unit cell a=5.407 b=5.407 c=4.165 alpha=91.38 beta=91.38 gamma=82.27
Element x y z (fractional)
Be (0.000, 0.000, 0.000)
Al (0.215, 0.215, 0.643)
Al (0.785, 0.785, 0.357)
H (0.065, 0.741, 0.187)
H (0.161, 0.161, 0.262)
H (0.259, 0.935, 0.813)
H (0.404, 0.404, 0.743)
H (0.596, 0.596, 0.257)
H (0.741, 0.065, 0.187)
H (0.839, 0.839, 0.738)
H (0.935, 0.259, 0.813)

Record 3
BeAl2H | PBE | relaxed

Computed properties:
Calculated volume ... 14.09 A^3/atom
SG ... I-42d (122)
Energy ... -3.11 eV per atom

Unit cell a=4.539 b=4.539 c=10.943 alpha=90.00 beta=90.00 gamma=90.00
Element x y z (fractional)
Be (0.000, 0.000, 0.000)
Be (0.000, 0.500, 0.250)
Be (0.500, 0.000, 0.750)
Be (0.500, 0.500, 0.500)
Al (0.153, 0.250, 0.625)
Al (0.250, 0.653, 0.875)
Al (0.250, 0.847, 0.375)
Al (0.347, 0.250, 0.125)
Al (0.653, 0.750, 0.125)
Al (0.750, 0.153, 0.375)
Al (0.750, 0.347, 0.875)
Al (0.847, 0.750, 0.625)
H (0.000, 0.000, 0.500)
H (0.000, 0.500, 0.750)
H (0.500, 0.000, 0.250)
H (0.500, 0.500, 0.000)

Record 4
BeAlH5 | PBE | relaxed

Computed properties:
Calculated volume ... 8.46 A^3/atom
SG ... C2/c (15)
Energy ... -3.50 eV per atom

Unit cell a=4.629 b=4.629 c=6.257 alpha=106.44 beta=106.44 gamma=100.23
Element x y z (fractional)
Be (0.172, 0.828, 0.750)
Be (0.828, 0.172, 0.250)
Al (0.500, 0.500, 0.000)
Al (0.500, 0.500, 0.500)
H (0.138, 0.238, 0.415)
H (0.178, 0.615, 0.876)
H (0.238, 0.138, 0.915)
H (0.385, 0.822, 0.624)
H (0.405, 0.595, 0.250)
H (0.595, 0.405, 0.750)
H (0.615, 0.178, 0.376)
H (0.762, 0.862, 0.085)
H (0.822, 0.385, 0.124)
H (0.862, 0.762, 0.585)

Record 5
Be2AlH | PBE | relaxed

Computed properties:
Calculated volume ... 10.33 A^3/atom
SG ... Fm-3m (225)
Energy ... -2.80 eV per atom

Unit cell a=5.487 b=5.487 c=5.487 alpha=90.00 beta=90.00 gamma=90.00
Element x y z (fractional)
Be (0.250, 0.250, 0.250)
Be (0.250, 0.250, 0.750)
Be (0.250, 0.750, 0.250)
Be (0.250, 0.750, 0.750)
Be (0.750, 0.250, 0.250)
Be (0.750, 0.250, 0.750)
Be (0.750, 0.750, 0.250)
Be (0.750, 0.750, 0.750)
Al (0.000, 0.000, 0.000)
Al (0.000, 0.500, 0.500)
Al (0.500, 0.000, 0.500)
Al (0.500, 0.500, 0.000)
H (0.000, 0.000, 0.500)
H (0.000, 0.500, 0.000)
H (0.500, 0.000, 0.000)
H (0.500, 0.500, 0.500)

Record 6
Be3AlH | PBE | relaxed

Computed properties:
Calculated volume ... 9.00 A^3/atom
SG ... Pm-3m (221)
Energy ... -3.24 eV per atom

Unit cell a=3.557 b=3.557 c=3.557 alpha=90.00 beta=90.00 gamma=90.00
Element x y z (fractional)
Be (0.000, 0.000, 0.500)
Be (0.000, 0.500, 0.000)
Be (0.500, 0.000, 0.000)
Al (0.500, 0.500, 0.500)
H (0.000, 0.000, 0.000)

Record 7
BeAl2H | PBE | relaxed

Computed properties:
Calculated volume ... 12.27 A^3/atom
SG ... Cm (8)
Energy ... -3.43 eV per atom

Unit cell a=8.077 b=4.115 c=5.953 alpha=90.00 beta=97.03 gamma=90.00
Element x y z (fractional)
Be (0.000, 0.250, 0.000)
Be (0.000, 0.750, 0.000)
Be (0.500, 0.250, 0.000)
Be (0.500, 0.750, 0.000)
Al (0.091, 0.000, 0.419)
Al (0.227, 0.500, 0.755)
Al (0.271, 0.500, 0.240)
Al (0.407, 0.000, 0.575)
Al (0.591, 0.500, 0.419)
Al (0.727, 0.000, 0.755)
Al (0.771, 0.000, 0.240)
Al (0.907, 0.500, 0.575)
H (0.106, 0.000, 0.907)
H (0.390, 0.000, 0.083)
H (0.606, 0.500, 0.907)
H (0.890, 0.500, 0.083)

Record 8
BeAl2H | PBE | relaxed

Computed properties:
Calculated volume ... 12.72 A^3/atom
SG ... P1 (1)
Energy ... -3.45 eV per atom

Unit cell a=4.620 b=4.672 c=5.878 alpha=66.79 beta=78.30 gamma=60.75
Element x y z (fractional)
Be (0.000, 0.000, 0.000)
Be (0.036, 0.718, 0.767)
Al (0.036, 0.305, 0.556)
Al (0.365, 0.723, 0.351)
Al (0.553, 0.600, 0.904)
Al (0.695, 0.054, 0.388)
H (0.335, 0.395, 0.858)
H (0.832, 0.795, 0.982)

Record 9
Be2AlH | PBE | relaxed

Computed properties:
Calculated volume ... 10.21 A^3/atom
SG ... I4_1/amd (141)
Energy ... -3.27 eV per atom

Unit cell a=4.114 b=4.114 c=9.653 alpha=90.00 beta=90.00 gamma=90.00
Element x y z (fractional)
Be (0.000, 0.000, 0.000)
Be (0.000, 0.500, 0.000)
Be (0.250, 0.250, 0.750)
Be (0.250, 0.750, 0.250)
Be (0.500, 0.000, 0.500)
Be (0.500, 0.500, 0.500)
Be (0.750, 0.250, 0.750)
Be (0.750, 0.750, 0.250)
Al (0.000, 0.250, 0.375)
Al (0.000, 0.750, 0.625)
Al (0.500, 0.250, 0.125)
Al (0.500, 0.750, 0.875)
H (0.000, 0.250, 0.875)
H (0.000, 0.750, 0.125)
H (0.500, 0.250, 0.625)
H (0.500, 0.750, 0.375)

Record 10
BeAl2H | PBE | relaxed

Computed properties:
Calculated volume ... 12.83 A^3/atom
SG ... Pmm2 (25)
Energy ... -3.44 eV per atom

Unit cell a=2.670 b=3.903 c=4.924 alpha=90.00 beta=90.00 gamma=90.00
Element x y z (fractional)
Be (0.000, 0.000, 0.000)
Al (0.000, 0.500, 0.329)
Al (0.500, 0.500, 0.817)
H (0.000, 0.000, 0.299)

Record 11
BeAl2H | PBE | relaxed

Computed properties:
Calculated volume ... 12.56 A^3/atom
SG ... P1 (1)
Energy ... -3.45 eV per atom

Unit cell a=3.930 b=4.544 c=6.194 alpha=89.08 beta=89.23 gamma=65.33
Element x y z (fractional)
Be (0.000, 0.000, 0.000)
Be (0.437, 0.134, 0.850)
Al (0.103, 0.262, 0.500)
Al (0.386, 0.651, 0.677)
Al (0.461, 0.482, 0.172)
Al (0.799, 0.869, 0.354)
H (0.134, 0.258, 0.012)
H (0.819, 0.874, 0.842)

Record 12
BeAl2H | PBE | relaxed

Computed properties:
Calculated volume ... 11.42 A^3/atom
SG ... Fm-3m (225)
Energy ... -3.24 eV per atom

Unit cell a=5.675 b=5.675 c=5.675 alpha=90.00 beta=90.00 gamma=90.00
Element x y z (fractional)
Be (0.000, 0.000, 0.000)
Be (0.000, 0.500, 0.500)
Be (0.500, 0.000, 0.500)
Be (0.500, 0.500, 0.000)
Al (0.250, 0.250, 0.250)
Al (0.250, 0.250, 0.750)
Al (0.250, 0.750, 0.250)
Al (0.250, 0.750, 0.750)
Al (0.750, 0.250, 0.250)
Al (0.750, 0.250, 0.750)
Al (0.750, 0.750, 0.250)
Al (0.750, 0.750, 0.750)
H (0.000, 0.000, 0.500)
H (0.000, 0.500, 0.000)
H (0.500, 0.000, 0.000)
H (0.500, 0.500, 0.500)

Record 13
NaBeAlH6 | PBE | relaxed

Computed properties:
Calculated volume ... 8.99 A^3/atom
SG ... P312 (149)
Energy ... -3.30 eV per atom

Unit cell a=4.366 b=4.366 c=4.901 alpha=90.00 beta=90.00 gamma=120.00
Element x y z (fractional)
Na (0.000, 0.000, 0.000)
Be (0.333, 0.667, 0.500)
Al (0.667, 0.333, 0.500)
H (0.019, 0.375, 0.691)
H (0.019, 0.644, 0.309)
H (0.356, 0.375, 0.309)
H (0.356, 0.981, 0.691)
H (0.625, 0.644, 0.691)
H (0.625, 0.981, 0.309)

Record 14
NaBeAl2H | PBE | relaxed

Computed properties:
Calculated volume ... 16.07 A^3/atom
SG ... P4/mmm (123)
Energy ... -2.67 eV per atom

Unit cell a=5.176 b=5.176 c=3.000 alpha=90.00 beta=90.00 gamma=90.00
Element x y z (fractional)
Na (0.000, 0.000, 0.000)
Be (0.500, 0.500, 0.500)
Al (0.000, 0.500, 0.500)
Al (0.500, 0.000, 0.500)
H (0.500, 0.500, 0.000)

Record 15
BeNb2AlH | PBE | relaxed

Computed properties:
Calculated volume ... 12.81 A^3/atom
SG ... P4/mmm (123)
Energy ... -6.27 eV per atom

Unit cell a=4.063 b=4.063 c=3.879 alpha=90.00 beta=90.00 gamma=90.00
Element x y z (fractional)
Be (0.000, 0.000, 0.000)
Nb (0.000, 0.500, 0.500)
Nb (0.500, 0.000, 0.500)
Al (0.500, 0.500, 0.000)
H (0.000, 0.000, 0.500)

Record 16
BeAlHO | PBE | relaxed

Computed properties:
Calculated volume ... 12.60 A^3/atom
SG ... Cm (8)
Energy ... -5.08 eV per atom

Unit cell a=4.648 b=2.685 c=8.219 alpha=90.00 beta=100.73 gamma=90.00
Element x y z (fractional)
Be (0.000, 0.000, 0.000)
Be (0.500, 0.500, 0.000)
Al (0.490, 0.000, 0.470)
Al (0.990, 0.500, 0.470)
H (0.369, 0.500, 0.611)
H (0.869, 0.000, 0.611)
O (0.333, 0.000, 0.000)
O (0.833, 0.500, 0.000)

Record 17
BeAlHO | PBE | relaxed

Computed properties:
Calculated volume ... 9.72 A^3/atom
SG ... Imm2 (44)
Energy ... -4.95 eV per atom

Unit cell a=2.695 b=2.869 c=10.053 alpha=90.00 beta=90.00 gamma=90.00
Element x y z (fractional)
Be (0.000, 0.000, 0.000)
Be (0.500, 0.500, 0.500)
Al (0.000, 0.000, 0.277)
Al (0.500, 0.500, 0.777)
H (0.000, 0.500, 0.073)
H (0.500, 0.000, 0.573)
O (0.000, 0.500, 0.410)
O (0.500, 0.000, 0.910)

Record 18
BeAlHO | PBE | relaxed

Computed properties:
Calculated volume ... 11.01 A^3/atom
SG ... Cm (8)
Energy ... -4.91 eV per atom

Unit cell a=9.605 b=2.756 c=3.358 alpha=90.00 beta=97.91 gamma=90.00
Element x y z (fractional)
Be (0.000, 0.000, 0.000)
Be (0.500, 0.500, 0.000)
Al (0.267, 0.500, 0.204)
Al (0.767, 0.000, 0.204)
H (0.246, 0.000, 0.512)
H (0.746, 0.500, 0.512)
O (0.079, 0.500, 0.996)
O (0.579, 0.000, 0.996)

Record 19
BeAlHO | PBE | relaxed

Computed properties:
Calculated volume ... 12.13 A^3/atom
SG ... Cm (8)
Energy ... -5.02 eV per atom

Unit cell a=8.883 b=2.685 c=4.446 alpha=90.00 beta=113.80 gamma=90.00
Element x y z (fractional)
Be (0.000, 0.000, 0.000)
Be (0.500, 0.500, 0.000)
Al (0.133, 0.500, 0.646)
Al (0.633, 0.000, 0.646)
H (0.337, 0.500, 0.706)
H (0.837, 0.000, 0.706)
O (0.035, 0.500, 0.199)
O (0.535, 0.000, 0.199)

Record 20
BeAlHO | PBE | relaxed

Computed properties:
Calculated volume ... 9.52 A^3/atom
SG ... Amm2 (38)
Energy ... -4.92 eV per atom

Unit cell a=2.820 b=3.178 c=8.496 alpha=90.00 beta=90.00 gamma=90.00
Element x y z (fractional)
Be (0.000, 0.000, 0.000)
Be (0.000, 0.500, 0.500)
Al (0.500, 0.000, 0.684)
Al (0.500, 0.500, 0.184)
H (0.000, 0.000, 0.534)
H (0.000, 0.500, 0.034)
O (0.000, 0.000, 0.818)
O (0.000, 0.500, 0.318)